Crystalline MoIrPt2 at its relaxed geometry. Source: OQMD, functional PBE-GGA.

Values from the calculation:
volume: 242 Å³/cell
energy relative to the elements: -0.212 eV per atom
excess energy over the best structure of this formula in the dataset: 0.0 kJ/mol of atoms
M_tot: 0.00 μB per formula unit
total DFT energy (no corrections): -130.66 eV for the cell shown

a b c (Å): 4.5151 9.6151 5.5707
angles (deg): 90.00 90.00 90.00
Closest atoms and distances in Å follow each position.
Element x y z (fractional)
Mo (0.2500, 0.1645, 0.0000)  8 Pt 2.74-2.81, 4 Ir 2.75-2.80
Mo (0.2500, 0.6645, 0.5000)  8 Pt 2.74-2.81, 4 Ir 2.75-2.80
Mo (0.7500, 0.3355, 0.5000)  8 Pt 2.74-2.81, 4 Ir 2.75-2.80
Mo (0.7500, 0.8355, 0.0000)  8 Pt 2.74-2.81, 4 Ir 2.75-2.80
Ir (0.2500, 0.4153, 0.7444)  6 Pt 2.73-2.84, 4 Mo 2.75-2.80, 2 Ir 2.78
Ir (0.2500, 0.9153, 0.2444)  6 Pt 2.73-2.84, 4 Mo 2.75-2.80, 2 Ir 2.78
Ir (0.7500, 0.0847, 0.2444)  6 Pt 2.73-2.84, 4 Mo 2.75-2.80, 2 Ir 2.78
Ir (0.7500, 0.5847, 0.7444)  6 Pt 2.73-2.84, 4 Mo 2.75-2.80, 2 Ir 2.78
Pt (0.2500, 0.1672, 0.4953)  4 Pt 2.72-2.84, 4 Mo 2.76-2.81, 4 Ir 2.76-2.80
Pt (0.2500, 0.4130, 0.2538)  6 Pt 2.72-2.84, 2 Ir 2.73-2.84, 4 Mo 2.74-2.78
Pt (0.2500, 0.6672, 0.9953)  4 Pt 2.72-2.84, 4 Mo 2.76-2.81, 4 Ir 2.76-2.80
Pt (0.2500, 0.9130, 0.7538)  6 Pt 2.72-2.84, 2 Ir 2.73-2.84, 4 Mo 2.74-2.78
Pt (0.7500, 0.0870, 0.7538)  6 Pt 2.72-2.84, 2 Ir 2.73-2.84, 4 Mo 2.74-2.78
Pt (0.7500, 0.3328, 0.9953)  4 Pt 2.72-2.84, 4 Mo 2.76-2.81, 4 Ir 2.76-2.80
Pt (0.7500, 0.5870, 0.2538)  6 Pt 2.72-2.84, 2 Ir 2.73-2.84, 4 Mo 2.74-2.78
Pt (0.7500, 0.8328, 0.4953)  4 Pt 2.72-2.84, 4 Mo 2.76-2.81, 4 Ir 2.76-2.80